VASP calculation (PBE-GGA) on a geometry-optimized K2SrHg structure.

Cell: 11.9385 11.9385 11.9385 Å, 22.33 22.33 22.33°
Last column: nearest neighbours and their distance in Å.
Atoms (fractional coordinates):
Hg: 0.7547 0.7547 0.7547  3 Sr 3.28, 3 K 3.50
K: 0.0231 0.0231 0.0231  3 Hg 3.50
K: 0.2463 0.2463 0.2463  3 Sr 4.50, 9 K 4.62-4.68
Sr: 0.4759 0.4759 0.4759  3 Hg 3.28

## Properties
Magnetic moment = 0.00 μB per atom
DFT formation energy = -0.5 eV/f.u.
Calculated density = 2.82 Mg/m³